Below is a relaxed structure of Ba2TlNi2O7, with properties calculated at the GGA+U level.

Its total energy is -4.889 eV per atom.

The structure belongs to space group P4/mmm (No. 123); the cell edges are 3.689, 3.689 and 13.932 Å and the angles 90.00°, 90.00° and 90.00°. The inequivalent atoms are Ba at (0.000, 0.000, 0.208), Tl at (0.500, 0.500, 0.000), Ni at (0.500, 0.500, 0.385), O at (0.000, 0.000, 0.000), O at (0.000, 0.500, 0.361) and O at (0.500, 0.500, 0.148).